Crystalline CsPuFe2Cl8 at its relaxed geometry, computed with PBE.

Summary:
Formation energy (no corrections): -1300 meV/atom

a = 10.8307 Å, b = 7.3945 Å, c = 10.4371 Å
α = 90.00°, β = 95.58°, γ = 90.00°
With the nearest neighbours (Å) after each atom.
Space group C2/m (No. 12)
Unique sites:
Cs 0.0000 0.0000 0.0000 [2 per cell]  6 Cl 3.63-3.64
Pu 0.0000 0.0000 0.5000 [2 per cell]  6 Cl 2.75-2.78
Fe 0.1156 0.5000 0.2856 [4 per cell]  4 Cl 2.21-2.33
Cl 0.0124 0.2484 0.7007 [8 per cell]  1 Fe 2.33
Cl 0.1861 0.5000 0.0934 [4 per cell]  1 Fe 2.21
Cl 0.2448 0.5000 0.4744 [4 per cell]  1 Fe 2.30